--- a ---
Entry from Alexandria: an optimized crystal structure of TiGaNi6 (GGA-PBE).

abc: 4.332 4.332 6.447
angles: 105.20 105.20 67.00
Fractional positions:
Ti (0.000, 0.000, 0.000)
Ga (0.500, 0.500, 0.500)
Ni (0.035, 0.557, 0.200)
Ni (0.142, 0.142, 0.437)
Ni (0.443, 0.965, 0.800)
Ni (0.557, 0.035, 0.200)
Ni (0.858, 0.858, 0.563)
Ni (0.965, 0.443, 0.800)

Summary:
**Density**: 7.38 g cm⁻³
**DOS at the Fermi energy**: 1.03 states/eV/atom
**SG**: C2/m (12)

--- b ---
Entry from Alexandria: an optimized crystal structure of TiGaNi6 (GGA-PBE).

abc: 3.603 3.603 7.149
angles: 90.00 90.00 90.00
Fractional positions:
Ti (0.000, 0.000, 0.000)
Ga (0.000, 0.000, 0.500)
Ni (0.000, 0.500, 0.251)
Ni (0.000, 0.500, 0.749)
Ni (0.500, 0.000, 0.251)
Ni (0.500, 0.000, 0.749)
Ni (0.500, 0.500, 0.000)
Ni (0.500, 0.500, 0.500)

Summary:
**Density**: 8.41 g cm⁻³
**DOS at the Fermi energy**: 1.10 states/eV/atom
**SG**: P4/mmm (123)

Name the most stable of them. b.

--- a ---
Entry from Alexandria: an optimized crystal structure of TiGa3Ni (GGA-PBE).

abc: 4.870 4.870 4.870
angles: 90.00 90.00 90.00
Fractional positions:
Ti (0.000, 0.000, 0.000)
Ga (0.000, 0.000, 0.500)
Ga (0.000, 0.500, 0.000)
Ga (0.500, 0.000, 0.000)
Ni (0.500, 0.500, 0.500)

Summary:
**Density**: 4.54 g cm⁻³
**DOS at the Fermi energy**: 0.91 states/eV/atom
**SG**: Pm-3m (221)

--- b ---
Entry from Alexandria: an optimized crystal structure of TiGa3Ni (GGA-PBE).

abc: 3.923 6.277 6.408
angles: 90.00 90.00 90.00
Fractional positions:
Ti (0.250, 0.250, 0.194)
Ti (0.750, 0.750, 0.806)
Ga (0.250, 0.036, 0.805)
Ga (0.250, 0.464, 0.805)
Ga (0.250, 0.750, 0.478)
Ga (0.750, 0.250, 0.522)
Ga (0.750, 0.536, 0.195)
Ga (0.750, 0.964, 0.195)
Ni (0.250, 0.750, 0.104)
Ni (0.750, 0.250, 0.896)

Summary:
**Density**: 6.64 g cm⁻³
**DOS at the Fermi energy**: 0.71 states/eV/atom
**SG**: Pmmn (59)

Name the most stable of them. b.